# 1
An optimized crystal structure of CeTmPt2, computed with PBE-GGA.

Cell: 4.0158 4.0158 7.2765 Å, 73.98 73.98 60.00°
Each line ends with the local moment (μB).
Atoms (fractional coordinates):
Pt: 0.0855 0.0855 0.7436  -0.01
Pt: 0.2480 0.2480 0.2559  -0.01
Tm: 0.4973 0.4973 0.5080  0.01
Ce: 0.6692 0.6692 0.9925  0.26

Its formation energy is -4.4 eV per formula unit.

# 2
An optimized crystal structure of Sr2YNi, computed with PBE-GGA.

Cell: 6.4187 6.4187 6.4187 Å, 135.60 135.60 64.60°
Atoms (fractional coordinates):
Sr: 0.2500 0.7500 0.5000
Sr: 0.0000 0.0000 0.0000
Y: 0.5000 0.5000 0.0000
Ni: 0.7500 0.2500 0.5000

Its formation energy is 1.9 eV per formula unit. The offset from the most stable computed form is 494 meV/atom.

# 3
An optimized crystal structure of AcScGa2Pd5, computed with PBE-GGA.

Cell: 4.2667 4.2667 9.3626 Å, 90.00 90.00 90.00°
Atoms (fractional coordinates):
Sc: 0.0000 0.0000 0.0000
Pd: 0.0000 0.5000 0.2621
Pd: 0.0000 0.5000 0.7379
Pd: 0.5000 0.0000 0.7379
Pd: 0.5000 0.0000 0.2621
Pd: 0.5000 0.5000 0.5000
Ga: 0.5000 0.5000 0.1283
Ga: 0.5000 0.5000 0.8717
Ac: 0.0000 0.0000 0.5000

Its formation energy is -6.0 eV per formula unit.

# 4
An optimized crystal structure of CrHgSe2, computed with PBE-GGA.

Cell: 6.6897 6.6897 4.3293 Å, 81.60 81.60 31.94°
Each line ends with the local moment (μB).
Atoms (fractional coordinates):
Hg: 0.1868 0.1868 0.4605  0.06
Cr: 0.4324 0.4324 0.3175  3.57
Se: 0.0514 0.0514 0.0723  -0.05
Se: 0.8293 0.8293 0.6497  -0.03

For the formation energy (no corrections), the calculation gives -0.13 eV per atom.

# 5
An optimized crystal structure of Tl4SnHg2, computed with PBE-GGA.

Cell: 3.5887 3.6207 16.1737 Å, 96.43 90.00 90.00°
Atoms (fractional coordinates):
Tl: 0.5000 0.0690 0.1380
Tl: 0.0000 0.6451 0.2903
Tl: 0.0000 0.3549 0.7097
Tl: 0.5000 0.9310 0.8620
Hg: 0.5000 0.7877 0.5755
Hg: 0.5000 0.2123 0.4245
Sn: 0.0000 0.5000 0.0000

Its formation energy is 0.1 eV per formula unit. The offset from the most stable computed form is 0 meV/atom.

# 6
An optimized crystal structure of Ce5Tl2Pt, computed with PBE-GGA.

Cell: 5.3697 6.5009 12.6882 Å, 90.00 90.00 90.00°
Each line ends with the local moment (μB).
Atoms (fractional coordinates):
Pt: 0.0000 0.5000 0.5000  -0.02
Pt: 0.0000 0.0000 0.0000  -0.02
Ce: 0.0000 0.3855 0.2791  0.84
Ce: 0.0000 0.5000 0.0000  0.88
Ce: 0.5000 0.8492 0.9199  0.65
Ce: 0.5000 0.6508 0.4199  0.65
Ce: 0.0000 0.6145 0.7209  0.84
Ce: 0.5000 0.3492 0.5801  0.65
Ce: 0.0000 0.1145 0.7791  0.84
Ce: 0.0000 0.8855 0.2209  0.84
Ce: 0.5000 0.1508 0.0801  0.65
Ce: 0.0000 0.0000 0.5000  0.88
Tl: 0.5000 0.1206 0.3418  -0.01
Tl: 0.5000 0.8794 0.6582  -0.01
Tl: 0.5000 0.3794 0.8418  -0.01
Tl: 0.5000 0.6206 0.1582  -0.01

Its formation energy is -2.8 eV per formula unit.

# 7
An optimized crystal structure of Sc2TaPb, computed with PBE-GGA.

Cell: 5.5978 5.5978 5.5978 Å, 134.90 134.90 65.69°
Atoms (fractional coordinates):
Sc: 0.2500 0.7500 0.5000
Sc: 0.0000 0.0000 0.0000
Pb: 0.7500 0.2500 0.5000
Ta: 0.5000 0.5000 0.0000

Its formation energy is 0.0 eV per formula unit.

# 8
An optimized crystal structure of Nd6Co2Ir, computed with PBE-GGA.

Cell: 8.4419 8.4419 8.4419 Å, 108.62 109.93 109.86°
Atoms (fractional coordinates):
Nd: 0.5583 0.7341 0.8242
Nd: 0.3171 0.9894 0.6723
Nd: 0.4417 0.2659 0.1758
Nd: 0.1820 0.7450 0.9270
Nd: 0.1820 0.2550 0.4370
Nd: 0.9099 0.7341 0.1758
Nd: 0.8180 0.2550 0.0730
Nd: 0.6829 0.3552 0.6723
Nd: 0.8180 0.7450 0.5630
Nd: 0.6829 0.0106 0.3277
Nd: 0.3171 0.6448 0.3277
Nd: 0.0901 0.2659 0.8242
Co: 0.6710 0.0000 0.6710
Co: 0.5000 0.3882 0.8882
Co: 0.5000 0.6118 0.1118
Co: 0.3290 0.0000 0.3290
Ir: 0.0000 0.0000 0.0000
Ir: 0.0000 0.5000 0.5000

Its formation energy is -1.7 eV per formula unit.

# 9
An optimized crystal structure of CsLa3Pt, computed with PBE-GGA.

Cell: 5.7484 5.7484 5.7484 Å, 90.00 90.00 90.00°
Atoms (fractional coordinates):
La: 0.5000 0.0000 0.0000
La: 0.0000 0.0000 0.5000
La: 0.0000 0.5000 0.0000
Cs: 0.0000 0.0000 0.0000
Pt: 0.5000 0.5000 0.5000

Its formation energy is 5.8 eV per formula unit. The offset from the most stable computed form is 1334 meV/atom.

# 10
An optimized crystal structure of NdPuCu4, computed with PBE-GGA.

Cell: 5.3094 5.3094 5.3094 Å, 60.00 60.00 60.00°
Each line ends with the local moment (μB).
Atoms (fractional coordinates):
Cu: 0.6254 0.6254 0.6254  0.01
Cu: 0.6254 0.1237 0.6254  0.01
Cu: 0.6254 0.6254 0.1237  0.01
Cu: 0.1237 0.6254 0.6254  0.01
Pu: 0.0000 0.0000 0.0000  5.41
Nd: 0.2500 0.2500 0.2500  0.19

Its formation energy is -0.1 eV per formula unit. The offset from the most stable computed form is 36 meV/atom.

# 11
An optimized crystal structure of ScZnOs2, computed with PBE-GGA.

Cell: 2.8450 2.8450 7.8893 Å, 90.00 90.00 90.00°
Atoms (fractional coordinates):
Zn: 0.5000 0.5000 0.7716
Os: 0.0000 0.0000 0.0135
Os: 0.5000 0.5000 0.2242
Sc: 0.0000 0.0000 0.4907

Its formation energy is -0.4 eV per formula unit.

# 12
An optimized crystal structure of ErBO, computed with PBE-GGA.

Cell: 3.1621 6.4630 7.4475 Å, 102.41 90.00 90.00°
Atoms (fractional coordinates):
O: 0.7500 0.3459 0.3827
O: 0.2500 0.6541 0.6173
O: 0.2500 0.1541 0.6173
O: 0.7500 0.8459 0.3827
B: 0.2500 0.2479 0.9903
B: 0.2500 0.7479 0.9903
B: 0.7500 0.2521 0.0097
B: 0.7500 0.7521 0.0097
Er: 0.2499 0.0749 0.2980
Er: 0.7501 0.9251 0.7020
Er: 0.2501 0.5749 0.2980
Er: 0.7499 0.4251 0.7020

For the formation energy (no corrections), the calculation gives -1.92 eV per atom.

# 13
An optimized crystal structure of Ca2IrBrCl, computed with PBE-GGA.

Cell: 5.4938 5.0118 5.4938 Å, 90.00 90.00 90.00°
Atoms (fractional coordinates):
Cl: 0.5000 0.5000 0.5000
Ir: 0.0000 0.0000 0.0000
Br: 0.0000 0.5000 0.0000
Ca: 0.0000 0.0000 0.5000
Ca: 0.5000 0.0000 0.0000

For the formation energy (no corrections), the calculation gives -0.67 eV per atom. The offset from the most stable computed form is 0 meV/atom.

# 14
An optimized crystal structure of PmUTl2Se4, computed with PBE-GGA.

Cell: 4.2435 7.3469 8.1805 Å, 107.40 90.00 90.00°
Each line ends with the local moment (μB).
Atoms (fractional coordinates):
U: 0.5000 0.5000 0.0000  2.64
Tl: 0.0000 0.5000 0.5000  0.01
Tl: 0.5000 0.0000 0.5000  0.00
Se: 0.5000 0.7588 0.7911  -0.02
Se: 0.0000 0.7297 0.2064  -0.04
Se: 0.5000 0.2412 0.2089  -0.02
Se: 0.0000 0.2703 0.7936  -0.04
Pm: 0.0000 0.0000 0.0000  0.09

For the formation energy (no corrections), the calculation gives -1.12 eV per atom.

# 15
An optimized crystal structure of Sm2YHg8, computed with PBE-GGA.

Cell: 5.0277 7.2750 8.4032 Å, 109.01 107.41 90.00°
Atoms (fractional coordinates):
Y: 0.5000 0.0000 0.0000
Hg: 0.1510 0.1716 0.3019
Hg: 0.6688 0.8957 0.3377
Hg: 0.4048 0.5494 0.8095
Hg: 0.5952 0.4506 0.1905
Hg: 0.9773 0.2709 0.9546
Hg: 0.8490 0.8284 0.6981
Hg: 0.3312 0.1043 0.6623
Hg: 0.0227 0.7291 0.0454
Sm: 0.7883 0.3442 0.5766
Sm: 0.2117 0.6558 0.4234

Its formation energy is -3.7 eV per formula unit.

# 16
An optimized crystal structure of NbTe3Mo, computed with PBE-GGA.

Cell: 5.4169 5.4169 5.4169 Å, 90.00 90.00 90.00°
Each line ends with the local moment (μB).
Atoms (fractional coordinates):
Te: 0.0000 0.5000 0.0000  -0.20
Te: 0.0000 0.0000 0.5000  -0.12
Te: 0.5000 0.0000 0.0000  -0.17
Nb: 0.0000 0.0000 0.0000  0.61
Mo: 0.5000 0.5000 0.5000  3.82

For the formation energy (no corrections), the calculation gives 0.91 eV per atom. The offset from the most stable computed form is 970 meV/atom.

# 17
An optimized crystal structure of Ba3ErPt2O9, computed with PBE-GGA.

Cell: 5.8951 5.8951 7.2557 Å, 90.00 90.00 120.00°
Each line ends with the local moment (μB).
Atoms (fractional coordinates):
O: 0.8256 0.6512 0.6765  0.02
O: 0.0000 0.5000 0.0000  0.04
O: 0.1744 0.8256 0.3235  0.02
O: 0.5000 0.0000 0.0000  0.04
O: 0.5000 0.5000 0.0000  0.04
O: 0.1744 0.3488 0.3235  0.02
O: 0.6512 0.8256 0.3235  0.02
O: 0.3488 0.1744 0.6765  0.02
O: 0.8256 0.1744 0.6765  0.02
Ba: 0.0000 0.0000 0.0000  0.00
Ba: 0.6667 0.3333 0.3206  0.00
Ba: 0.3333 0.6667 0.6794  0.00
Pt: 0.6667 0.3333 0.8350  0.10
Pt: 0.3333 0.6667 0.1650  0.10
Er: 0.0000 0.0000 0.5000  -0.01

For the formation energy (no corrections), the calculation gives -1.94 eV per atom.

# 18
An optimized crystal structure of Ba4HIr, computed with PBE-GGA.

Cell: 7.7658 7.6345 9.9941 Å, 104.23 104.75 110.51°
Atoms (fractional coordinates):
H: 0.8156 0.0656 0.1312
H: 0.1844 0.9344 0.8688
Ba: 0.8256 0.5751 0.6423
Ba: 0.3167 0.0672 0.6423
Ba: 0.9374 0.1993 0.8949
Ba: 0.0626 0.8007 0.1051
Ba: 0.1744 0.4249 0.3577
Ba: 0.5424 0.3044 0.1051
Ba: 0.4576 0.6956 0.8949
Ba: 0.6833 0.9328 0.3577
Ir: 0.6803 0.4303 0.8606
Ir: 0.3197 0.5697 0.1394

The offset from the most stable computed form is 11 meV/atom.

# 19
An optimized crystal structure of Ac3Ru, computed with PBE-GGA.

Cell: 4.1180 6.9283 10.5373 Å, 90.00 90.00 107.29°
Atoms (fractional coordinates):
Ac: 0.9056 0.8111 0.7500
Ac: 0.6430 0.2860 0.5741
Ac: 0.3570 0.7140 0.0741
Ac: 0.0944 0.1889 0.2500
Ac: 0.3570 0.7140 0.4259
Ac: 0.6430 0.2860 0.9259
Ru: 0.2442 0.4883 0.7500
Ru: 0.7558 0.5117 0.2500

Its formation energy is -0.5 eV per formula unit. The offset from the most stable computed form is 0 meV/atom.

# 20
An optimized crystal structure of CaMg, computed with PBE-GGA.

Cell: 4.9877 4.9877 6.1698 Å, 113.84 113.84 90.00°
Atoms (fractional coordinates):
Mg: 0.7500 0.2500 0.5000
Mg: 0.5000 0.5000 0.0000
Ca: 0.2500 0.7500 0.5000
Ca: 0.0000 0.0000 0.0000

Its formation energy is 0.0 eV per formula unit.

# 21
An optimized crystal structure of CeMg3Ni8, computed with PBE-GGA.

Cell: 4.8937 4.8937 8.4966 Å, 73.26 73.26 60.00°
Atoms (fractional coordinates):
Mg: 0.4915 0.4915 0.5255
Mg: 0.0057 0.0057 0.9829
Mg: 0.3726 0.3726 0.8822
Ni: 0.4395 0.9385 0.1824
Ni: 0.6881 0.6881 0.9358
Ni: 0.9382 0.4344 0.6891
Ni: 0.9382 0.9382 0.6891
Ni: 0.9385 0.4395 0.1824
Ni: 0.4344 0.9382 0.6891
Ni: 0.4395 0.4395 0.1824
Ni: 0.1874 0.1874 0.4378
Ce: 0.8763 0.8763 0.3712

Its formation energy is -3.6 eV per formula unit.

# 22
An optimized crystal structure of GaAuSe2Br, computed with PBE-GGA.

Cell: 5.1218 5.1218 5.4096 Å, 90.00 90.00 90.00°
Atoms (fractional coordinates):
Se: 0.0000 0.5000 0.0000
Se: 0.5000 0.0000 0.0000
Au: 0.0000 0.0000 0.0000
Br: 0.0000 0.0000 0.5000
Ga: 0.5000 0.5000 0.5000

For the formation energy (no corrections), the calculation gives 0.26 eV per atom. The offset from the most stable computed form is 0 meV/atom.

# 23
An optimized crystal structure of Ba2In4RhAu3, computed with PBE-GGA.

Cell: 4.8061 4.8061 11.4453 Å, 90.00 90.00 90.00°
Atoms (fractional coordinates):
In: 0.0000 0.5000 0.3841
In: 0.5000 0.0000 0.6159
In: 0.5000 0.5000 0.0000
In: 0.0000 0.0000 0.0000
Rh: 0.5000 0.5000 0.5000
Au: 0.5000 0.0000 0.8617
Au: 0.0000 0.5000 0.1383
Au: 0.0000 0.0000 0.5000
Ba: 0.5000 0.0000 0.2607
Ba: 0.0000 0.5000 0.7393

Its formation energy is -4.9 eV per formula unit.

# 24
An optimized crystal structure of LiCo2Pt2, computed with PBE-GGA.

Cell: 7.3662 7.3662 2.6721 Å, 90.00 90.00 90.00°
Each line ends with the local moment (μB).
Atoms (fractional coordinates):
Pt: 0.6791 0.8209 0.5000  0.38
Pt: 0.1791 0.6791 0.5000  0.38
Pt: 0.3209 0.1791 0.5000  0.38
Pt: 0.8209 0.3209 0.5000  0.38
Co: 0.8844 0.6156 0.0000  1.85
Co: 0.6156 0.1156 0.0000  1.78
Co: 0.3844 0.8844 0.0000  1.78
Co: 0.1156 0.3844 0.0000  1.85
Li: 0.5000 0.5000 0.0000  -0.02
Li: 0.0000 0.0000 0.0000  -0.02

Its formation energy is -0.7 eV per formula unit. The offset from the most stable computed form is 0 meV/atom.